Below is a relaxed Np3FeAg3S8 crystal, with properties calculated at the GGA-PBE level.

Summary:
DOS(E_F) = 61.204 states/eV per cell
Formation energy (no corrections) = -0.702 eV/atom
Calculated total energy = -6.63 eV/atom
Total magnetization = 10.0 μB per formula unit
ρ = 6.90 g/cm3

a = 13.3099 Å, b = 7.6843 Å, c = 7.7444 Å
α = 90.00°, β = 125.03°, γ = 90.00°
Closest atoms and distances in Å follow each position.
Space group C2/m (No. 12)
Asymmetric unit:
Np  0.0000  0.0000  0.0000 (multiplicity 2)  6 S 2.69-2.73
Np  0.2500  0.2500  0.0000 (multiplicity 4)  6 S 2.69-2.73
Fe  0.0000  0.5000  0.0000 (multiplicity 2)  6 S 2.39
Ag  0.0000  0.5000  0.5000 (multiplicity 2)  6 S 2.76
Ag  0.2500  0.2500  0.5000 (multiplicity 4)  6 S 2.76-2.77
S  0.0010  0.2799  0.7832 (multiplicity 8)  1 Fe 2.39
S  0.2192  0.5000  0.2168 (multiplicity 4)  1 Fe 2.39
S  0.2465  0.0000  0.2392 (multiplicity 4)  3 Np 2.69, 3 Ag 2.76-2.77